The following is a DFT calculation (PBE) of a relaxed CsNbI crystal.

Lattice parameters (Å, degrees): 3.693 6.996 9.569 99.36 99.19 94.51
Fractional coordinates of all 6 atoms:
Cs1 0.063 0.312 0.213
Cs2 0.937 0.688 0.787
Nb1 0.308 0.872 0.433
Nb2 0.692 0.128 0.567
I1 0.367 0.207 0.827
I2 0.633 0.793 0.173

The value obtained for the volume is 239 Å³ per cell. The energy above the most stable polymorph in this dataset comes out at 0.000 eV/atom. Its formation energy without anion corrections is 0.10 eV/atom. For the theoretical density, the calculation gives 4.89 g/cm3. As for the electronic total energy: -0.1493 hartree per atom.